Sr3Cd2Pb2: optimized geometry, PBE.

Results
For the energy, the calculation gives -2.4955 eV/atom. The calculation puts the energy of formation at -0.45 eV per atom.

abc: 6.6061 6.6061 7.9343
angles: 105.26 105.26 45.73
Last column: nearest neighbours and their distance in Å.
Fractional positions:
Sr (0.0000, 0.0000, 0.0000)  4 Pb 3.55, 6 Cd 3.58-3.65
Sr (0.1608, 0.1608, 0.6197)  3 Cd 3.42-3.57, 5 Pb 3.49-3.70
Sr (0.8392, 0.8392, 0.3803)  3 Cd 3.42-3.57, 5 Pb 3.49-3.70
Cd (0.3081, 0.3081, 0.0567)  2 Cd 2.95, 1 Pb 3.03
Cd (0.6919, 0.6919, 0.9433)  2 Cd 2.95, 1 Pb 3.03
Pb (0.4560, 0.4560, 0.6794)  1 Cd 3.03, 1 Pb 3.32
Pb (0.5440, 0.5440, 0.3206)  1 Cd 3.03, 1 Pb 3.32